{"formula": "DySnW", "functional": "PBE-GGA", "state": "optimized geometry", "crystal_system": "cubic", "volume_a3_per_atom": 27.71, "spacegroup": "F-43m, No. 216", "total_energy_ev_per_atom": -5.966, "magnetic_moment_mub_per_fu": 2.77, "cell": [[0.000, 3.464, 3.464], [3.464, 0.000, 3.464], [3.464, 3.464, 0.000]], "species": ["Dy", "W", "Sn"], "frac_coords": [[0.000, 0.000, 0.000], [0.750, 0.750, 0.750], [0.250, 0.250, 0.250]]}

=====

{"formula": "DyYSn2", "functional": "PBE-GGA", "state": "optimized geometry", "crystal_system": "orthorhombic", "volume_a3_per_atom": 31.90, "spacegroup": "Amm2, No. 38", "total_energy_ev_per_atom": -4.695, "magnetic_moment_mub_per_fu": 0.01, "cell": [[-2.410, -2.278, -0.458], [2.438, -3.647, 5.309], [-1.853, 0.633, 6.603]], "species": ["Sn", "Dy", "Sn", "Y"], "frac_coords": [[0.000, 0.115, 0.115], [0.000, 0.641, 0.641], [0.000, 0.885, 0.885], [0.000, 0.359, 0.359]]}

=====

{"formula": "DyYSn", "functional": "PBE-GGA", "state": "optimized geometry", "crystal_system": "cubic", "volume_a3_per_atom": 31.85, "spacegroup": "F-43m, No. 216", "total_energy_ev_per_atom": -5.440, "magnetic_moment_mub_per_fu": 0.01, "cell": [[0.000, 3.628, 3.628], [3.628, 0.000, 3.628], [3.628, 3.628, 0.000]], "species": ["Y", "Dy", "Sn"], "frac_coords": [[0.000, 0.000, 0.000], [0.500, 0.500, 0.500], [0.250, 0.250, 0.250]]}